Record 1
Entry from Alexandria via LeMat-Bulk: ThBiH2 after structural relaxation (PBE).

Computed properties:
Total moment = 0.000 μB/cell
Polymorph energy (0 for the lowest one) = 4.8 kJ/mol of atoms
Space group = Cmcm
DOS(E_F) = 0.458 states/eV/atom

a b c (Å): 3.902 6.345 6.456
angles (deg): 90.00 90.00 107.91
Atoms (fractional coordinates):
Th1 0.214 0.428 0.250
Th2 0.786 0.572 0.750
Bi1 0.943 0.886 0.250
Bi2 0.057 0.114 0.750
H1 0.304 0.608 0.937
H2 0.696 0.392 0.063
H3 0.696 0.392 0.437
H4 0.304 0.608 0.563



Record 2
Entry from Alexandria via LeMat-Bulk: Th3BiH2 after structural relaxation (PBE).

Computed properties:
Total moment = 0.000 μB/cell
Space group = C2/m
DFT total energy = -5.73 eV/atom
DOS(E_F) = 0.914 states/eV/atom

a b c (Å): 4.009 8.554 8.322
angles (deg): 89.38 103.94 90.00
Atoms (fractional coordinates):
Th1 0.251 0.280 0.503
Th2 0.031 0.811 0.062
Th3 0.409 0.535 0.818
Th4 0.749 0.720 0.497
Th5 0.591 0.465 0.182
Th6 0.969 0.189 0.938
Bi1 0.368 0.940 0.736
Bi2 0.632 0.060 0.264
H1 0.267 0.560 0.534
H2 0.733 0.440 0.466
H3 0.901 0.671 0.802
H4 0.099 0.329 0.198



Record 3
Entry from Alexandria via LeMat-Bulk: Th2BiH after structural relaxation (PBE).

Computed properties:
Total moment = 0.000 μB/cell
Polymorph energy (0 for the lowest one) = 11.8 kJ/mol of atoms
Space group = R3m
DOS(E_F) = 0.926 states/eV/atom

a b c (Å): 3.633 3.633 8.803
angles (deg): 78.09 78.09 60.00
Atoms (fractional coordinates):
Th1 0.061 0.061 0.817
Th2 0.273 0.273 0.182
Bi1 0.500 0.500 0.499
H1 0.666 0.666 0.002



Record 4
Entry from Alexandria via LeMat-Bulk: Th4Bi2H9 after structural relaxation (PBE).

Computed properties:
Total moment = 0.000 μB/cell
Space group = P-3m1
DFT total energy = -5.02 eV/atom
DOS(E_F) = 0.269 states/eV/atom

a b c (Å): 3.983 3.983 15.875
angles (deg): 90.00 90.00 120.00
Atoms (fractional coordinates):
Th1 0.333 0.667 0.397
Th2 0.667 0.333 0.603
Th3 0.667 0.333 0.896
Th4 0.333 0.667 0.104
Bi1 0.333 0.667 0.750
Bi2 0.667 0.333 0.250
H1 0.000 0.000 0.368
H2 0.000 0.000 0.632
H3 0.000 0.000 0.884
H4 0.000 0.000 0.116
H5 0.333 0.667 0.552
H6 0.667 0.333 0.448
H7 0.667 0.333 0.047
H8 0.333 0.667 0.953
H9 0.000 0.000 0.500



Record 5
Entry from Alexandria via LeMat-Bulk: ThBiH2 after structural relaxation (PBE).

Computed properties:
Total moment = 0.000 μB/cell
Polymorph energy (0 for the lowest one) = 0.0 kJ/mol of atoms
Space group = Pmmn
DOS(E_F) = 0.582 states/eV/atom

a b c (Å): 3.808 5.777 6.394
angles (deg): 90.00 90.00 90.00
Atoms (fractional coordinates):
Th1 0.500 0.609 0.500
Th2 0.000 0.391 0.000
Bi1 0.500 0.901 0.000
Bi2 0.000 0.099 0.500
H1 0.000 0.599 0.698
H2 0.500 0.401 0.802
H3 0.000 0.599 0.302
H4 0.500 0.401 0.198



Record 6
Entry from Alexandria via LeMat-Bulk: Th2Zr5Bi3H2 after structural relaxation (PBE).

Computed properties:
Total moment = 0.000 μB/cell
Space group = I4/mmm
DFT total energy = -6.75 eV/atom
DOS(E_F) = 0.599 states/eV/atom

a b c (Å): 4.483 4.483 13.481
angles (deg): 99.57 99.57 90.00
Atoms (fractional coordinates):
Th1 0.701 0.701 0.402
Th2 0.299 0.299 0.598
Zr1 0.587 0.087 0.175
Zr2 0.413 0.913 0.825
Zr3 0.087 0.587 0.175
Zr4 0.913 0.413 0.825
Zr5 0.500 0.500 0.000
Bi1 0.171 0.171 0.342
Bi2 0.829 0.829 0.658
Bi3 0.000 0.000 0.000
H1 0.416 0.416 0.832
H2 0.584 0.584 0.168



Record 7
Entry from Alexandria via LeMat-Bulk: Ti8Bi4H after structural relaxation (PBE).

Computed properties:
Total moment = 0.004 μB/cell
Space group = Pmm2
DFT total energy = -6.45 eV/atom
DOS(E_F) = 1.224 states/eV/atom

a b c (Å): 4.616 3.693 13.881
angles (deg): 90.00 90.00 90.00
Atoms (fractional coordinates):
Ti1 0.000 0.000 0.431
Ti2 0.000 0.500 0.926
Ti3 0.500 0.500 0.075
Ti4 0.500 0.000 0.574
Ti5 0.000 0.500 0.261
Ti6 0.000 0.000 0.763
Ti7 0.500 0.000 0.238
Ti8 0.500 0.500 0.739
Bi1 0.000 0.000 0.095
Bi2 0.000 0.500 0.602
Bi3 0.500 0.500 0.403
Bi4 0.500 0.000 0.901
H1 0.000 0.000 0.296



Record 8
Entry from Alexandria via LeMat-Bulk: TiBiH after structural relaxation (PBE).

Computed properties:
Total moment = 0.781 μB/cell
Polymorph energy (0 for the lowest one) = 21.7 kJ/mol of atoms
Space group = Pnma
DOS(E_F) = 0.628 states/eV/atom

a b c (Å): 5.203 6.577 5.581
angles (deg): 90.00 90.00 90.00
Last column: magnetic moment on the atom in μB.
Atoms (fractional coordinates):
H1 0.250 0.306 0.141  0.00
H2 0.750 0.194 0.641  0.00
H3 0.250 0.806 0.359  0.00
H4 0.750 0.694 0.859  0.00
Bi1 0.250 0.160 0.654  -0.01
Bi2 0.750 0.340 0.154  -0.01
Bi3 0.250 0.660 0.846  -0.01
Bi4 0.750 0.840 0.346  -0.01
Ti1 0.250 0.022 0.151  0.17
Ti2 0.250 0.522 0.349  0.17
Ti3 0.750 0.478 0.651  0.17
Ti4 0.750 0.978 0.849  0.17